Entry 1:
# Pu2H3O8 | Alexandria via LeMat-Bulk | GGA-PBE | optimized geometry
data_Pu2H3O8
_chemical_formula_sum 'Pu4 H6 O16'
_cell_length_a 5.6741
_cell_length_b 7.6430
_cell_length_c 9.7951
_cell_angle_alpha 90.59
_cell_angle_beta 106.24
_cell_angle_gamma 111.02
_space_group_name_H-M_alt 'P -1'
_space_group_IT_number 2
_space_group_name_Hall '-P 1'
loop_
_atom_site_label
_atom_site_type_symbol
_atom_site_fract_x
_atom_site_fract_y
_atom_site_fract_z
Pu1 Pu 0.0969 0.3632 0.1241
Pu2 Pu 0.3904 0.8648 0.6233
H1 H 0.1186 0.4175 0.4083
H2 H 0.3009 0.0769 0.0957
H3 H 0.4904 0.2257 0.7429
O1 O 0.0009 0.6936 0.6628
O2 O 0.1329 0.4731 0.9300
O3 O 0.1707 0.8516 0.9711
O4 O 0.2719 0.9664 0.4279
O5 O 0.3631 0.6470 0.5322
O6 O 0.3639 0.1889 0.1675
O7 O 0.3800 0.5675 0.2291
O8 O 0.3962 0.0795 0.7317
# - electronic total energy (eV for the cell shown) = -203.93
# - DOS(E_F) (states/eV per atom) = 0.363
# - volume (A^3/atom) = 14.530



Entry 2:
# PuHO5 | Alexandria via LeMat-Bulk | GGA-PBE | optimized geometry
data_PuHO5
_chemical_formula_sum 'Pu4 H4 O20'
_cell_length_a 9.1474
_cell_length_b 5.9275
_cell_length_c 8.7491
_cell_angle_alpha 90.00
_cell_angle_beta 118.18
_cell_angle_gamma 90.00
_space_group_name_H-M_alt 'C 1 2/c 1'
_space_group_IT_number 15
_space_group_name_Hall '-C 2yc'
loop_
_atom_site_label
_atom_site_type_symbol
_atom_site_fract_x
_atom_site_fract_y
_atom_site_fract_z
Pu1 Pu 0.0000 0.0000 0.0000
H1 H 0.0000 0.3206 0.2500
O1 O 0.0000 0.1550 0.2500
O2 O 0.0245 0.2816 0.9328
O3 O 0.2263 0.0307 0.6203
# - electronic total energy (eV for the cell shown) = -208.02
# - DOS(E_F) (states/eV per atom) = 0.595
# - volume (A^3/atom) = 14.934



Entry 3:
# Pu2H2O7 | Alexandria via LeMat-Bulk | GGA-PBE | optimized geometry
data_Pu2H2O7
_chemical_formula_sum 'Pu2 H2 O7'
_cell_length_a 5.8805
_cell_length_b 5.8806
_cell_length_c 7.5304
_cell_angle_alpha 99.55
_cell_angle_beta 99.68
_cell_angle_gamma 119.62
_space_group_name_H-M_alt 'P 1'
_space_group_IT_number 1
_space_group_name_Hall 'P 1'
loop_
_atom_site_label
_atom_site_type_symbol
_atom_site_fract_x
_atom_site_fract_y
_atom_site_fract_z
Pu1 Pu 0.0000 0.0000 0.0000
Pu2 Pu 0.3322 0.6678 0.0000
H1 H 0.0088 0.6762 0.3661
H2 H 0.0484 0.7165 0.5814
O1 O 0.0121 0.3263 0.8564
O2 O 0.1100 0.7776 0.1457
O3 O 0.2217 0.8899 0.8536
O4 O 0.3190 0.3410 0.1428
O5 O 0.6583 0.6802 0.8565
O6 O 0.6734 0.9866 0.1428
O7 O 0.9239 0.5914 0.4577
# - electronic total energy (eV for the cell shown) = -91.40
# - DOS(E_F) (states/eV per atom) = 0.893
# - volume (A^3/atom) = 19.412



Entry 4:
# Pu2HO | Alexandria via LeMat-Bulk | GGA-PBE | optimized geometry
data_Pu2HO
_chemical_formula_sum 'Pu2 H1 O1'
_cell_length_a 4.3666
_cell_length_b 4.3666
_cell_length_c 3.1171
_cell_angle_alpha 90.00
_cell_angle_beta 90.00
_cell_angle_gamma 90.00
_space_group_name_H-M_alt 'P 4/m m m'
_space_group_IT_number 123
_space_group_name_Hall '-P 4 2'
loop_
_atom_site_label
_atom_site_type_symbol
_atom_site_fract_x
_atom_site_fract_y
_atom_site_fract_z
Pu1 Pu 0.0000 0.5000 0.0000
H1 H 0.0000 0.0000 0.5000
O1 O 0.5000 0.5000 0.5000
# - DOS(E_F) (states/eV per atom) = 2.272
# - energy above the lowest structure with this stoichiometry (meV per atom) = 384
# - volume (A^3/atom) = 14.859



Entry 5:
# PuHO3 | Alexandria via LeMat-Bulk | GGA-PBE | optimized geometry
data_PuHO3
_chemical_formula_sum 'Pu1 H1 O3'
_cell_length_a 4.1286
_cell_length_b 4.1384
_cell_length_c 4.6086
_cell_angle_alpha 89.91
_cell_angle_beta 89.96
_cell_angle_gamma 89.35
_space_group_name_H-M_alt 'P 1'
_space_group_IT_number 1
_space_group_name_Hall 'P 1'
loop_
_atom_site_label
_atom_site_type_symbol
_atom_site_fract_x
_atom_site_fract_y
_atom_site_fract_z
Pu1 Pu 0.0000 0.0000 0.0000
H1 H 0.8241 0.7530 0.5005
O1 O 0.4992 0.9992 0.9998
O2 O 0.9618 0.9448 0.5000
O3 O 0.9939 0.4997 0.0001
# - electronic total energy (eV for the cell shown) = -43.36
# - DOS(E_F) (states/eV per atom) = 0.809
# - volume (A^3/atom) = 15.747



Entry 6:
# PuHO | Alexandria via LeMat-Bulk | GGA-PBE | optimized geometry
data_PuHO
_chemical_formula_sum 'Pu1 H1 O1'
_cell_length_a 3.7651
_cell_length_b 3.7651
_cell_length_c 3.4896
_cell_angle_alpha 90.00
_cell_angle_beta 90.00
_cell_angle_gamma 120.00
_space_group_name_H-M_alt 'P -6 m 2'
_space_group_IT_number 187
_space_group_name_Hall 'P -6 2'
loop_
_atom_site_label
_atom_site_type_symbol
_atom_site_fract_x
_atom_site_fract_y
_atom_site_fract_z
Pu1 Pu 0.0000 0.0000 0.0000
H1 H 0.6667 0.3333 0.5000
O1 O 0.3333 0.6667 0.0000
# - DOS(E_F) (states/eV per atom) = 1.616
# - energy above the lowest structure with this stoichiometry (meV per atom) = 402
# - volume (A^3/atom) = 14.280



Entry 7:
# Rb2PuH2O6 | Alexandria via LeMat-Bulk | GGA-PBE | optimized geometry
data_Rb2PuH2O6
_chemical_formula_sum 'Rb2 Pu1 H2 O6'
_cell_length_a 5.3422
_cell_length_b 5.3422
_cell_length_c 6.3353
_cell_angle_alpha 90.00
_cell_angle_beta 90.00
_cell_angle_gamma 120.00
_space_group_name_H-M_alt 'P -3 m 1'
_space_group_IT_number 164
_space_group_name_Hall '-P 3 2"'
loop_
_atom_site_label
_atom_site_type_symbol
_atom_site_fract_x
_atom_site_fract_y
_atom_site_fract_z
Rb1 Rb 0.3333 0.6667 0.3567
Pu1 Pu 0.0000 0.0000 0.0000
H1 H 0.3333 0.6667 0.8370
O1 O 0.1771 0.3543 0.8200
# - electronic total energy (eV for the cell shown) = -68.51
# - DOS(E_F) (states/eV per atom) = 0.676
# - volume (A^3/atom) = 14.235



Entry 8:
# Rb2Pu3HO12 | Alexandria via LeMat-Bulk | GGA-PBE | optimized geometry
data_Rb2Pu3HO12
_chemical_formula_sum 'Rb6 Pu9 H3 O36'
_cell_length_a 7.8035
_cell_length_b 7.8035
_cell_length_c 16.7366
_cell_angle_alpha 90.00
_cell_angle_beta 90.00
_cell_angle_gamma 120.00
_space_group_name_H-M_alt 'R -3 m'
_space_group_IT_number 166
_space_group_name_Hall '-R 3 2"'
loop_
_atom_site_label
_atom_site_type_symbol
_atom_site_fract_x
_atom_site_fract_y
_atom_site_fract_z
Rb1 Rb 0.0000 0.0000 0.1262
Pu1 Pu 0.0000 0.5000 0.0000
H1 H 0.0000 0.0000 0.5000
O1 O 0.0719 0.5359 0.3647
O2 O 0.0953 0.5477 0.1024
# - electronic total energy (eV for the cell shown) = -428.82
# - DOS(E_F) (states/eV per atom) = 0.396
# - volume (A^3/atom) = 16.345



Entry 9:
# RbPuH2O4 | Alexandria via LeMat-Bulk | GGA-PBE | optimized geometry
data_RbPuH2O4
_chemical_formula_sum 'Rb2 Pu2 H4 O8'
_cell_length_a 5.2785
_cell_length_b 7.0123
_cell_length_c 7.7415
_cell_angle_alpha 90.00
_cell_angle_beta 90.00
_cell_angle_gamma 90.00
_space_group_name_H-M_alt 'I 2 2 2'
_space_group_IT_number 23
_space_group_name_Hall 'I 2 2'
loop_
_atom_site_label
_atom_site_type_symbol
_atom_site_fract_x
_atom_site_fract_y
_atom_site_fract_z
Rb1 Rb 0.0000 0.0000 0.0000
Pu1 Pu 0.0000 0.0000 0.5000
H1 H 0.0000 0.5000 0.1732
O1 O 0.2301 0.4992 0.8166
# - electronic total energy (eV for the cell shown) = -109.94
# - DOS(E_F) (states/eV per atom) = 0.786
# - volume (A^3/atom) = 17.909



Entry 10:
# PuH2SeO6 | Alexandria via LeMat-Bulk | GGA-PBE | optimized geometry
data_PuH2SeO6
_chemical_formula_sum 'Pu2 H4 Se2 O12'
_cell_length_a 5.1873
_cell_length_b 5.8556
_cell_length_c 9.4565
_cell_angle_alpha 90.00
_cell_angle_beta 101.92
_cell_angle_gamma 90.00
_space_group_name_H-M_alt 'P 1 21/c 1'
_space_group_IT_number 14
_space_group_name_Hall '-P 2ybc'
loop_
_atom_site_label
_atom_site_type_symbol
_atom_site_fract_x
_atom_site_fract_y
_atom_site_fract_z
Pu1 Pu 0.0000 0.0000 0.0000
H1 H 0.2297 0.1317 0.6790
Se1 Se 0.5000 0.0000 0.5000
O1 O 0.0801 0.0465 0.8254
O2 O 0.2891 0.7490 0.0407
O3 O 0.2930 0.2167 0.6016
# - electronic total energy (eV for the cell shown) = -135.23
# - DOS(E_F) (states/eV per atom) = 0.177
# - volume (A^3/atom) = 14.052



Entry 11:
# SrPuHO5 | Alexandria via LeMat-Bulk | GGA-PBE | optimized geometry
data_SrPuHO5
_chemical_formula_sum 'Sr4 Pu4 H4 O20'
_cell_length_a 6.4685
_cell_length_b 10.2261
_cell_length_c 8.1017
_cell_angle_alpha 90.00
_cell_angle_beta 111.50
_cell_angle_gamma 90.00
_space_group_name_H-M_alt 'C 1 2/c 1'
_space_group_IT_number 15
_space_group_name_Hall '-C 2yc'
loop_
_atom_site_label
_atom_site_type_symbol
_atom_site_fract_x
_atom_site_fract_y
_atom_site_fract_z
Sr1 Sr 0.0000 0.0461 0.2500
Pu1 Pu 0.2500 0.2500 0.0000
H1 H 0.0000 0.2998 0.2500
O1 O 0.0000 0.2051 0.7500
O2 O 0.0218 0.2799 0.1107
O3 O 0.2345 0.0684 0.0494
# - electronic total energy (eV for the cell shown) = -247.59
# - volume (A^3/atom) = 15.582



Entry 12:
# SrPuH2O6 | Alexandria via LeMat-Bulk | GGA-PBE | optimized geometry
data_SrPuH2O6
_chemical_formula_sum 'Sr1 Pu1 H2 O6'
_cell_length_a 5.3317
_cell_length_b 5.4327
_cell_length_c 6.2195
_cell_angle_alpha 64.73
_cell_angle_beta 67.54
_cell_angle_gamma 63.36
_space_group_name_H-M_alt 'P 1'
_space_group_IT_number 1
_space_group_name_Hall 'P 1'
loop_
_atom_site_label
_atom_site_type_symbol
_atom_site_fract_x
_atom_site_fract_y
_atom_site_fract_z
Sr1 Sr 0.0000 0.0000 0.0000
Pu1 Pu 0.4903 0.4860 0.5066
H1 H 0.0677 0.2892 0.2918
H2 H 0.9164 0.7760 0.6760
O1 O 0.0832 0.7068 0.7434
O2 O 0.2698 0.5412 0.3046
O3 O 0.4419 0.1263 0.6942
O4 O 0.5760 0.8221 0.2956
O5 O 0.6705 0.4470 0.7306
O6 O 0.9083 0.2431 0.2943
# - electronic total energy (eV for the cell shown) = -71.72
# - DOS(E_F) (states/eV per atom) = 0.071
# - volume (A^3/atom) = 14.151